Density functional theory data (PBE+U) for a relaxed NbFeIr2O crystal.

The crystal system is tetragonal. The value obtained for the total energy is -7.058 eV/atom.

The space group is P4/mmm (No. 123) and the conventional cell measures 4.811, 4.811 and 3.369 Å, with angles of 90.00, 90.00 and 90.00 degrees. The asymmetric unit holds Nb at (0.000, 0.000, 0.000), Fe at (0.500, 0.500, 0.500), Ir at (0.000, 0.500, 0.500) and O at (0.500, 0.500, 0.000).